The following is a DFT calculation (PBE) of an optimized crystal structure of NdLuTlIn.

Output
V (Å³ per atom): 27.55
ΔH_f (0 K) (meV per atom): -379
N(E_F) (states/eV/cell): 1.615
Energy (eV/cell): -15.91

Lattice parameters (Å, degrees): 5.3816 5.3816 5.3816 60.00 60.00 60.00
Sites, in units of the cell vectors:
Nd1 0.0000 0.0000 0.0000
Lu1 0.5000 0.5000 0.5000
Tl1 0.2500 0.2500 0.2500
In1 0.7500 0.7500 0.7500